# 1
NbV2Co: relaxed, GGA-PBE.

abc: 5.4403 5.4403 5.4403
angles: 102.59 102.59 124.33
Sites, in units of the cell vectors:
Nb 0.0000 0.0000 0.0000
Nb 0.7500 0.2500 0.5000
V 0.1589 0.1250 0.5339
V 0.3750 0.8411 0.9661
V 0.5911 0.6250 0.4661
V 0.8750 0.4089 0.0339
Co 0.2500 0.7500 0.5000
Co 0.5000 0.5000 0.0000

Energy above the most stable polymorph in this dataset, meV/atom: 373
Energy of formation from the pure elements, kJ per mole of atoms: 34.77
E, eV per atom: -8.4929
N(E_F), states/eV/f.u.: 4.59

# 2
NbVCo6: relaxed, GGA-PBE.

abc: 12.6636 12.6636 12.6636
angles: 23.15 23.15 23.15
Sites, in units of the cell vectors:
Nb 0.0000 0.0000 0.0000
Nb 0.2178 0.2178 0.2178
Nb 0.4993 0.4993 0.4993
V 0.1089 0.1089 0.1089
V 0.6093 0.6093 0.6093
V 0.7176 0.7176 0.7176
Co 0.0075 0.4932 0.4932
Co 0.1016 0.6103 0.6103
Co 0.1105 0.1105 0.6075
Co 0.1105 0.6075 0.1105
Co 0.2072 0.7287 0.7287
Co 0.2283 0.2283 0.7072
Co 0.2283 0.7072 0.2283
Co 0.4932 0.0075 0.4932
Co 0.4932 0.4932 0.0075
Co 0.5109 0.9885 0.9885
Co 0.6075 0.1105 0.1105
Co 0.6103 0.1016 0.6103
Co 0.6103 0.6103 0.1016
Co 0.7072 0.2283 0.2283
Co 0.7287 0.2072 0.7287
Co 0.7287 0.7287 0.2072
Co 0.9885 0.5109 0.9885
Co 0.9885 0.9885 0.5109

Energy above the most stable polymorph in this dataset, meV/atom: 0
Energy of formation from the pure elements, kJ per mole of atoms: -14.70
E, eV per atom: -7.8804
N(E_F), states/eV/f.u.: 9.38

# 3
NbVCo5: relaxed, GGA-PBE.

abc: 3.7800 3.7800 6.1934
angles: 90.00 90.00 90.00
Sites, in units of the cell vectors:
Nb 0.0000 0.0000 0.0000
V 0.5000 0.5000 0.5000
Co 0.0000 0.5000 0.2818
Co 0.0000 0.5000 0.7182
Co 0.5000 0.0000 0.2818
Co 0.5000 0.0000 0.7182
Co 0.5000 0.5000 0.0000

Energy of formation from the pure elements, kJ per mole of atoms: 11.93
E, eV per atom: -7.6932
N(E_F), states/eV/f.u.: 7.68

# 4
NbVCoW: relaxed, GGA-PBE.

abc: 4.3691 4.3691 4.3691
angles: 60.00 60.00 60.00
Sites, in units of the cell vectors:
Nb 0.0000 0.0000 0.0000
V 0.5000 0.5000 0.5000
Co 0.7500 0.7500 0.7500
W 0.2500 0.2500 0.2500

Energy of formation from the pure elements, kJ per mole of atoms: 2.36
E, eV per atom: -9.7874
N(E_F), states/eV/f.u.: 3.06

# 5
ZrNbVCo: relaxed, GGA-PBE.

abc: 4.4765 4.4765 4.4765
angles: 60.00 60.00 60.00
Sites, in units of the cell vectors:
Zr 0.0000 0.0000 0.0000
Nb 0.5000 0.5000 0.5000
V 0.2500 0.2500 0.2500
Co 0.7500 0.7500 0.7500

Energy of formation from the pure elements, kJ per mole of atoms: 0.50
E, eV per atom: -8.7054
N(E_F), states/eV/f.u.: 4.54

# 6
NbCo2W: relaxed, GGA-PBE.

abc: 3.8581 3.8581 3.6784
angles: 90.00 90.00 90.00
Sites, in units of the cell vectors:
Nb 0.0000 0.0000 0.0000
Co 0.0000 0.5000 0.5000
Co 0.5000 0.0000 0.5000
W 0.5000 0.5000 0.0000

Energy above the most stable polymorph in this dataset, meV/atom: 0
Energy of formation from the pure elements, kJ per mole of atoms: 1.52
E, eV per atom: -9.2929
N(E_F), states/eV/f.u.: 3.29

# 7
NbCoW: relaxed, GGA-PBE.

abc: 9.5825 8.9493 4.8902
angles: 82.00 67.64 30.36
Sites, in units of the cell vectors:
Nb 0.0452 0.0452 0.2048
Nb 0.2048 0.2048 0.0452
Nb 0.7952 0.7952 0.9548
Nb 0.9548 0.9548 0.7952
Co 0.2517 0.2517 0.4983
Co 0.4983 0.4983 0.2517
Co 0.5017 0.5017 0.7483
Co 0.7483 0.7483 0.5017
W 0.2035 0.5465 0.2035
W 0.4535 0.7965 0.4535
W 0.5465 0.2035 0.5465
W 0.7965 0.4535 0.7965

Energy above the most stable polymorph in this dataset, meV/atom: 0
Energy of formation from the pure elements, kJ per mole of atoms: -6.92
E, eV per atom: -10.1146
N(E_F), states/eV/f.u.: 3.46

# 8
NbCo2W2: relaxed, GGA-PBE.

abc: 7.3875 7.3875 2.6652
angles: 90.00 90.00 90.00
Sites, in units of the cell vectors:
Nb 0.0000 0.0000 0.0000
Nb 0.5000 0.5000 0.0000
Co 0.1715 0.3285 0.5000
Co 0.3285 0.8285 0.5000
Co 0.6715 0.1715 0.5000
Co 0.8285 0.6715 0.5000
W 0.1271 0.6271 0.0000
W 0.3729 0.1271 0.0000
W 0.6271 0.8729 0.0000
W 0.8729 0.3729 0.0000

Energy above the most stable polymorph in this dataset, meV/atom: 100
Energy of formation from the pure elements, kJ per mole of atoms: 19.09
E, eV per atom: -9.8397
N(E_F), states/eV/f.u.: 6.20